(1)
Below is a geometry-optimized YTmPu2S4 structure, with properties calculated at the GGA-PBE level.

a b c (Å): 6.7624 3.9036 6.8257
angles (deg): 90.00 109.28 90.00
Positions (direct):
Y: 0.0000 0.0000 0.0000
Tm: 0.5000 0.5000 0.0000
Pu: 0.0000 0.5000 0.5000
Pu: 0.5000 0.0000 0.5000
S: 0.2513 0.5000 0.2452
S: 0.2556 0.0000 0.7573
S: 0.7444 0.0000 0.2427
S: 0.7487 0.5000 0.7548

Calculated values
Energy relative to the elements, uncorrected in eV per formula unit: -15.18
VASP energy in eV/atom: -8.91

---

(2)
Below is a geometry-optimized Ta2BeN structure, with properties calculated at the GGA-PBE level.

a b c (Å): 4.1004 4.1004 4.1004
angles (deg): 60.00 60.00 60.00
Positions (direct):
Ta: 0.2500 0.2500 0.2500
Ta: 0.7500 0.7500 0.7500
Be: 0.0000 0.0000 0.0000
N: 0.5000 0.5000 0.5000

Calculated values
Excess energy over the best structure of this formula in the dataset in meV per atom: 873
Energy relative to the elements, uncorrected in eV per formula unit: 2.00
VASP energy in eV/atom: -8.44

---

(3)
Below is a geometry-optimized HfBe2HPt structure, with properties calculated at the GGA-PBE level.

a b c (Å): 4.6095 4.6095 3.3338
angles (deg): 90.00 90.00 90.00
Positions (direct):
Hf: 0.0000 0.0000 0.0000
Be: 0.0000 0.5000 0.0000
Be: 0.5000 0.0000 0.0000
H: 0.0000 0.0000 0.5000
Pt: 0.5000 0.5000 0.5000

Calculated values
VASP energy in eV/atom: -4.45

---

(4)
Below is a geometry-optimized Na4InSn2 structure, with properties calculated at the GGA-PBE level.

a b c (Å): 6.4982 6.4982 6.4982
angles (deg): 103.97 103.97 121.15
Positions (direct):
Na: 0.2061 0.2061 0.4123
Na: 0.2061 0.7939 0.0000
Na: 0.7939 0.2061 0.0000
Na: 0.7939 0.7939 0.5877
In: 0.5000 0.5000 0.0000
Sn: 0.2500 0.7500 0.5000
Sn: 0.7500 0.2500 0.5000

Calculated values
Formation energy from the elements in meV/atom: -56
Excess energy over the best structure of this formula in the dataset in meV per atom: 0
VASP energy in eV/atom: -2.35